# SrLiNiPb2 (PBE-GGA, optimized geometry)
# - DFT formation energy (kJ per mole of atoms) = -17
# - SG = No. 123
# - magnetization (μB/cell) = 0.00
data_SrLiNiPb2
_cell_length_a 5.153
_cell_length_b 5.153
_cell_length_c 4.968
_cell_angle_alpha 90.00
_cell_angle_beta 90.00
_cell_angle_gamma 90.00
_space_group_name_H-M_alt 'P 1'
_space_group_IT_number 1
loop_
_space_group_symop_operation_xyz
'x,y,z'
loop_
_atom_site_label
_atom_site_type_symbol
_atom_site_fract_x
_atom_site_fract_y
_atom_site_fract_z
Pb1 Pb 0.000 0.500 0.000
Pb2 Pb 0.500 0.000 0.000
Ni1 Ni 0.000 0.000 0.000
Li1 Li 0.000 0.000 0.500
Sr1 Sr 0.500 0.500 0.500